Entry from Alexandria: VHgSb3 after structural relaxation (PBE-GGA).

- Total energy: -4.125 eV/atom
- Formation energy without anion corrections: 22 kJ/mol of atoms

abc: 5.1530 5.1530 5.1530
angles: 90.00 90.00 90.00
Closest atoms and distances in Å follow each position.
Sites, in units of the cell vectors:
1 Sb 0.0000 0.5000 0.0000  2 V 2.58
2 Sb 0.0000 0.0000 0.5000  2 V 2.58
3 Sb 0.5000 0.0000 0.0000  2 V 2.58
4 Hg 0.5000 0.5000 0.5000  12 Sb 3.64
5 V 0.0000 0.0000 0.0000  6 Sb 2.58